Record 1
# FeAg3Pd6

A relaxed structure of FeAg3Pd6 (GGA-PBE, Alexandria via LeMat-Bulk).

a = 5.194 Å, b = 5.194 Å, c = 7.147 Å
α = 90.00°, β = 90.00°, γ = 120.00°
Element x y z (fractional)
Pd 0.000 0.394 0.821
Pd 0.394 0.394 0.179
Ag 0.333 0.667 0.500
Fe 0.000 0.000 0.000
Ag 0.667 0.333 0.500
Pd 0.000 0.606 0.179
Pd 0.606 0.606 0.821
Pd 0.606 0.000 0.179
Ag 0.000 0.000 0.500
Pd 0.394 0.000 0.821

Output
E_form = 0.100 eV/atom
total magnetization = 4.3 μB/f.u.
E = -4.717 eV/atom
SG = P-31m (162)
mass density = 10.12 g/cm³
crystal system = trigonal


Record 2
# SiMoN2

A relaxed structure of SiMoN2 (GGA-PBE, Alexandria via LeMat-Bulk).

a = 6.233 Å, b = 6.233 Å, c = 6.233 Å
α = 26.26°, β = 26.26°, γ = 26.26°
Element x y z (fractional)
Mo 0.000 0.000 0.000
N 0.888 0.888 0.888
Si 0.500 0.500 0.500
N 0.112 0.112 0.112

Output
E_form (uncorrected) = -0.7 eV per formula unit
total magnetization = 0.0 μB/f.u.
E = -8.396 eV/atom
SG = R-3m (166)
mass density = 6.04 g/cm³
crystal system = trigonal


Record 3
# CrBr

A relaxed structure of CrBr (GGA-PBE, Alexandria via LeMat-Bulk).

a = 6.381 Å, b = 6.381 Å, c = 3.860 Å
α = 90.00°, β = 90.00°, γ = 142.68°
Element x y z (fractional)
Cr 0.116 0.884 0.250
Br 0.638 0.362 0.750
Br 0.362 0.638 0.250
Cr 0.884 0.116 0.750

Output
E_form (uncorrected) = 0.4 eV per formula unit
total magnetization = 5.0 μB/f.u.
E = -5.438 eV/atom
SG = Cmcm (63)
mass density = 4.60 g/cm³
crystal system = orthorhombic


Record 4
# Al2H6I

A relaxed structure of Al2H6I (GGA-PBE, Alexandria via LeMat-Bulk).

a = 5.153 Å, b = 5.153 Å, c = 5.153 Å
α = 60.00°, β = 60.00°, γ = 60.00°
Element x y z (fractional)
Al 0.250 0.250 0.250
H 0.370 0.630 0.630
H 0.370 0.630 0.370
H 0.630 0.370 0.370
H 0.630 0.370 0.630
H 0.370 0.370 0.630
Al 0.750 0.750 0.750
I 0.000 0.000 0.000
H 0.630 0.630 0.370

Output
total magnetization = 0.0 μB/f.u.
E = -2.344 eV/atom
SG = Fm-3m (225)
mass density = 3.21 g/cm³
crystal system = cubic


Record 5
# Co2AgCl

A relaxed structure of Co2AgCl (GGA-PBE, Alexandria via LeMat-Bulk).

a = 5.192 Å, b = 5.192 Å, c = 5.192 Å
α = 147.95°, β = 125.88°, γ = 64.30°
Element x y z (fractional)
Co 0.472 0.472 0.000
Co 0.028 0.028 0.000
Ag 0.750 0.250 0.500
Cl 0.250 0.750 0.500

Output
E_form (uncorrected) = 2.6 eV per formula unit
total magnetization = 3.4 μB/f.u.
E = -4.068 eV/atom
SG = Immm (71)
mass density = 7.29 g/cm³
crystal system = orthorhombic


Record 6
# Zr2PW

A relaxed structure of Zr2PW (GGA-PBE, Alexandria via LeMat-Bulk).

a = 4.629 Å, b = 4.629 Å, c = 4.629 Å
α = 60.00°, β = 60.00°, γ = 60.00°
Element x y z (fractional)
Zr 0.750 0.750 0.750
P 0.500 0.500 0.500
W 0.250 0.250 0.250
Zr 0.000 0.000 0.000

Output
E_form = 0.083 eV/atom
total magnetization = 0.0 μB/f.u.
E = -8.781 eV/atom
SG = F-43m (216)
mass density = 9.40 g/cm³
crystal system = cubic


Record 7
# TiTe3Pd

A relaxed structure of TiTe3Pd (GGA-PBE, Alexandria via LeMat-Bulk).

a = 3.853 Å, b = 7.463 Å, c = 10.821 Å
α = 115.35°, β = 90.00°, γ = 90.00°
Element x y z (fractional)
Pd 0.750 0.781 0.335
Ti 0.750 0.866 0.848
Te 0.250 0.600 0.701
Te 0.750 0.400 0.299
Te 0.250 0.046 0.381
Te 0.250 0.180 0.916
Te 0.750 0.820 0.084
Ti 0.250 0.134 0.152
Te 0.750 0.954 0.619
Pd 0.250 0.219 0.665

Output
E_form (uncorrected) = -1.9 eV per formula unit
total magnetization = 0.0 μB/f.u.
E = -4.888 eV/atom
SG = P2_1/m (11)
mass density = 6.34 g/cm³
crystal system = monoclinic


Record 8
# LiHfAsSe2

A relaxed structure of LiHfAsSe2 (GGA-PBE, Alexandria via LeMat-Bulk).

a = 4.649 Å, b = 4.649 Å, c = 4.484 Å
α = 90.00°, β = 90.00°, γ = 90.00°
Element x y z (fractional)
Hf 0.500 0.500 0.500
Se 0.000 0.500 0.000
Li 0.000 0.000 0.000
As 0.000 0.000 0.500
Se 0.500 0.000 0.000

Output
E_form (uncorrected) = 0.6 eV per formula unit
total magnetization = 0.0 μB/f.u.
E = -4.583 eV/atom
SG = P4/mmm (123)
mass density = 7.17 g/cm³
crystal system = tetragonal


Record 9
# Er2ThGa6

A relaxed structure of Er2ThGa6 (GGA-PBE, Alexandria via LeMat-Bulk).

a = 4.273 Å, b = 7.834 Å, c = 7.834 Å
α = 53.64°, β = 74.18°, γ = 74.18°
Element x y z (fractional)
Er 0.373 0.127 0.127
Ga 0.818 0.875 0.490
Er 0.627 0.873 0.873
Ga 0.182 0.510 0.125
Ga 0.000 0.182 0.818
Ga 0.000 0.818 0.182
Ga 0.818 0.490 0.875
Ga 0.182 0.125 0.510
Th 0.500 0.500 0.500

Output
E_form = -0.421 eV/atom
total magnetization = 0.0 μB/f.u.
E = -4.277 eV/atom
SG = Immm (71)
mass density = 8.13 g/cm³
crystal system = orthorhombic


Record 10
# MnNi6Pt12

A relaxed structure of MnNi6Pt12 (GGA-PBE, Alexandria via LeMat-Bulk).

a = 6.672 Å, b = 7.199 Å, c = 7.199 Å
α = 69.09°, β = 72.00°, γ = 108.00°
Element x y z (fractional)
Pt 0.678 0.885 0.847
Pt 0.889 0.627 0.947
Ni 0.364 0.787 0.681
Ni 0.578 0.533 0.787
Pt 0.475 0.153 0.732
Pt 0.525 0.847 0.268
Pt 0.111 0.373 0.053
Ni 0.955 0.319 0.467
Pt 0.262 0.426 0.627
Pt 0.793 0.268 0.885
Ni 0.422 0.467 0.213
Mn 0.000 0.000 0.000
Pt 0.322 0.115 0.153
Pt 0.164 0.053 0.574
Pt 0.738 0.574 0.373
Pt 0.207 0.732 0.115
Ni 0.045 0.681 0.533
Pt 0.836 0.947 0.426
Ni 0.636 0.213 0.319

Output
E_form = -0.118 eV/atom
total magnetization = 10.8 μB/f.u.
E = -6.242 eV/atom
SG = R-3 (148)
mass density = 16.85 g/cm³
crystal system = trigonal


Record 11
# Rb2NdSmTe4

A relaxed structure of Rb2NdSmTe4 (GGA-PBE, Alexandria via LeMat-Bulk).

a = 4.628 Å, b = 8.013 Å, c = 8.976 Å
α = 107.31°, β = 90.00°, γ = 90.00°
Element x y z (fractional)
Te 0.500 0.237 0.205
Rb 0.500 0.000 0.500
Te 0.500 0.763 0.795
Te 0.000 0.732 0.203
Sm 0.500 0.500 0.000
Rb 0.000 0.500 0.500
Te 0.000 0.268 0.797
Nd 0.000 0.000 0.000

Output
E_form (uncorrected) = -11.2 eV per formula unit
total magnetization = 0.0 μB/f.u.
E = -4.404 eV/atom
SG = P2/m (10)
mass density = 5.10 g/cm³
crystal system = monoclinic


Record 12
# Cs2HgBBr6

A relaxed structure of Cs2HgBBr6 (GGA-PBE, Alexandria via LeMat-Bulk).

a = 7.646 Å, b = 7.646 Å, c = 7.788 Å
α = 60.60°, β = 60.60°, γ = 90.00°
Element x y z (fractional)
Cs 0.250 0.750 0.500
B 0.500 0.500 0.000
Br 0.709 0.291 0.000
Br 0.709 0.709 0.000
Br 0.291 0.291 0.000
Hg 0.000 0.000 0.000
Br 0.250 0.250 0.500
Cs 0.750 0.250 0.500
Br 0.750 0.750 0.500
Br 0.291 0.709 0.000

Output
E_form (uncorrected) = -6.9 eV per formula unit
total magnetization = 0.0 μB/f.u.
E = -2.558 eV/atom
SG = I4/mmm (139)
mass density = 4.85 g/cm³
crystal system = tetragonal


Record 13
# Hf2ScRu2

A relaxed structure of Hf2ScRu2 (GGA-PBE, Alexandria via LeMat-Bulk).

a = 3.169 Å, b = 3.182 Å, c = 9.676 Å
α = 80.54°, β = 90.00°, γ = 90.00°
Element x y z (fractional)
Ru 0.500 0.591 0.818
Ru 0.500 0.409 0.182
Hf 0.000 0.170 0.659
Hf 0.000 0.830 0.341
Sc 0.000 0.000 0.000

Output
E_form = -0.433 eV/atom
total magnetization = 0.0 μB/f.u.
E = -9.391 eV/atom
SG = Cmmm (65)
mass density = 10.42 g/cm³
crystal system = orthorhombic


Record 14
# Pr6Ge2As3S

A relaxed structure of Pr6Ge2As3S (GGA-PBE, Alexandria via LeMat-Bulk).

a = 4.262 Å, b = 8.613 Å, c = 9.580 Å
α = 102.85°, β = 102.85°, γ = 90.00°
Element x y z (fractional)
Pr 0.000 0.751 0.000
As 0.834 0.166 0.669
Ge 0.166 0.332 0.332
Pr 0.335 0.920 0.670
As 0.166 0.834 0.331
Pr 0.665 0.080 0.330
Pr 0.334 0.414 0.669
As 0.500 0.500 0.000
Ge 0.834 0.668 0.668
Pr 0.000 0.249 0.000
Pr 0.666 0.586 0.331
S 0.500 0.000 0.000

Output
E_form (uncorrected) = -16.1 eV per formula unit
total magnetization = 0.0 μB/f.u.
E = -6.006 eV/atom
SG = C2/m (12)
mass density = 6.21 g/cm³
crystal system = monoclinic


Record 15
# Sm2Ho4ErSc

A relaxed structure of Sm2Ho4ErSc (GGA-PBE, Alexandria via LeMat-Bulk).

a = 4.978 Å, b = 4.980 Å, c = 11.093 Å
α = 63.34°, β = 90.00°, γ = 90.00°
Element x y z (fractional)
Ho 0.500 0.247 0.754
Sm 0.000 0.000 0.000
Ho 0.000 0.253 0.246
Sc 0.500 0.500 0.000
Er 0.000 0.500 0.500
Ho 0.500 0.753 0.246
Sm 0.500 0.000 0.500
Ho 0.000 0.747 0.754

Output
E_form = 0.033 eV/atom
total magnetization = 0.0 μB/f.u.
E = -4.798 eV/atom
SG = P4/mmm (123)
mass density = 7.92 g/cm³
crystal system = tetragonal


Record 16
# Ac3Pm5Ho12

A relaxed structure of Ac3Pm5Ho12 (GGA-PBE, Alexandria via LeMat-Bulk).

a = 16.683 Å, b = 16.683 Å, c = 16.683 Å
α = 109.47°, β = 109.47°, γ = 109.47°
Element x y z (fractional)
Ho 0.644 0.074 0.223
Ho 0.648 0.223 0.579
Ho 0.148 0.070 0.926
Ho 0.723 0.579 0.148
Ho 0.574 0.352 0.930
Pm 0.500 0.500 0.500
Pm 0.000 0.000 0.000
Ac 0.125 0.250 0.875
Ho 0.574 0.223 0.144
Ho 0.352 0.777 0.421
Ho 0.648 0.426 0.570
Pm 0.000 0.500 0.000
Ho 0.070 0.921 0.144
Ho 0.930 0.079 0.856
Ho 0.223 0.648 0.079
Ho 0.930 0.852 0.574
Pm 0.000 0.500 0.500
Ho 0.926 0.356 0.277
Pm 0.500 0.000 0.500
Ho 0.852 0.921 0.277
Ho 0.356 0.926 0.777
Pm 0.375 0.250 0.125
Pm 0.625 0.750 0.875
Ho 0.074 0.644 0.723
Ho 0.421 0.277 0.352
Pm 0.250 0.375 0.625
Ho 0.277 0.856 0.926
Ho 0.430 0.356 0.579
Ho 0.079 0.148 0.223
Ac 0.625 0.250 0.375
Ho 0.426 0.777 0.856
Ho 0.277 0.421 0.852
Ho 0.926 0.570 0.148
Pm 0.125 0.375 0.250
Pm 0.500 0.000 0.000
Pm 0.750 0.625 0.375
Pm 0.750 0.125 0.875
Ac 0.875 0.125 0.250
Ho 0.777 0.352 0.921
Pm 0.500 0.500 0.000
Ho 0.144 0.421 0.070
Ho 0.079 0.930 0.356
Ho 0.723 0.144 0.074
Ac 0.750 0.375 0.125
Ho 0.356 0.430 0.079
Ho 0.352 0.574 0.430
Ho 0.644 0.570 0.921
Ho 0.070 0.148 0.426
Ho 0.856 0.277 0.426
Pm 0.875 0.625 0.750
Ho 0.570 0.644 0.421
Ho 0.921 0.852 0.777
Ho 0.570 0.926 0.648
Ho 0.144 0.723 0.574
Ho 0.421 0.144 0.570
Pm 0.000 0.000 0.500
Pm 0.625 0.875 0.250
Ho 0.921 0.070 0.644
Ho 0.148 0.079 0.723
Pm 0.875 0.250 0.625
Ho 0.777 0.426 0.356
Ac 0.125 0.875 0.750
Ho 0.579 0.723 0.648
Ho 0.852 0.930 0.074
Ho 0.426 0.648 0.070
Ho 0.074 0.430 0.852
Pm 0.250 0.875 0.125
Ho 0.856 0.579 0.930
Ac 0.375 0.625 0.250
Ac 0.250 0.625 0.875
Ac 0.875 0.750 0.125
Ho 0.430 0.074 0.352
Ac 0.375 0.750 0.625
Ac 0.625 0.375 0.750
Ac 0.250 0.125 0.375
Pm 0.125 0.750 0.375
Ho 0.223 0.574 0.644
Ac 0.750 0.875 0.625
Ho 0.579 0.856 0.430
Pm 0.375 0.125 0.750

Output
E_form = 1.076 eV/atom
total magnetization = 0.1 μB/f.u.
E = -3.475 eV/atom
SG = Ia-3d (230)
mass density = 6.29 g/cm³
crystal system = cubic


Record 17
# NaTmSnI6

A relaxed structure of NaTmSnI6 (GGA-PBE, Alexandria via LeMat-Bulk).

a = 7.840 Å, b = 7.840 Å, c = 13.989 Å
α = 90.00°, β = 90.00°, γ = 120.00°
Element x y z (fractional)
I 0.981 0.646 0.375
I 0.019 0.665 0.875
I 0.646 0.981 0.875
Sn 0.000 0.000 0.500
I 0.335 0.981 0.625
Na 0.333 0.667 0.250
I 0.646 0.665 0.625
Tm 0.667 0.333 0.250
I 0.019 0.354 0.625
I 0.354 0.019 0.125
Na 0.667 0.333 0.750
I 0.335 0.354 0.875
I 0.665 0.019 0.375
I 0.981 0.335 0.125
I 0.354 0.335 0.375
Sn 0.000 0.000 0.000
Tm 0.333 0.667 0.750
I 0.665 0.646 0.125

Output
E_form (uncorrected) = -9.1 eV per formula unit
total magnetization = 0.0 μB/f.u.
E = -3.138 eV/atom
SG = P-31c (163)
mass density = 4.78 g/cm³
crystal system = trigonal


Record 18
# CsTeS2

A relaxed structure of CsTeS2 (GGA-PBE, Alexandria via LeMat-Bulk).

a = 3.660 Å, b = 3.660 Å, c = 8.042 Å
α = 90.00°, β = 90.00°, γ = 90.00°
Element x y z (fractional)
Cs 0.500 0.500 0.500
Te 0.500 0.500 0.000
S 0.000 0.000 0.191
S 0.000 0.000 0.809

Output
E_form (uncorrected) = 0.0 eV per formula unit
total magnetization = 0.0 μB/f.u.
E = -3.067 eV/atom
SG = P4/mmm (123)
mass density = 5.00 g/cm³
crystal system = tetragonal


Record 19
# Pr2DyPaP4

A relaxed structure of Pr2DyPaP4 (GGA-PBE, Alexandria via LeMat-Bulk).

a = 4.088 Å, b = 7.046 Å, c = 7.110 Å
α = 109.38°, β = 90.00°, γ = 90.00°
Element x y z (fractional)
Pr 0.000 0.500 0.500
Pr 0.500 0.000 0.500
Pa 0.500 0.500 0.000
P 0.000 0.260 0.768
P 0.000 0.740 0.232
P 0.500 0.750 0.767
P 0.500 0.250 0.233
Dy 0.000 0.000 0.000

Output
E_form = -1.502 eV/atom
total magnetization = 0.0 μB/f.u.
E = -7.164 eV/atom
SG = P2/m (10)
mass density = 6.87 g/cm³
crystal system = monoclinic


Record 20
# FeCuPS2

A relaxed structure of FeCuPS2 (GGA-PBE, Alexandria via LeMat-Bulk).

a = 4.591 Å, b = 4.591 Å, c = 4.346 Å
α = 90.00°, β = 90.00°, γ = 90.00°
Element x y z (fractional)
Cu 0.000 0.000 0.000
S 0.500 0.000 0.000
S 0.000 0.500 0.000
P 0.000 0.000 0.500
Fe 0.500 0.500 0.500

Output
E_form (uncorrected) = 4.6 eV per formula unit
total magnetization = 3.5 μB/f.u.
E = -4.320 eV/atom
SG = P4/mmm (123)
mass density = 3.89 g/cm³
crystal system = tetragonal


Record 21
# Rb2BaP

A relaxed structure of Rb2BaP (GGA-PBE, Alexandria via LeMat-Bulk).

a = 5.063 Å, b = 5.063 Å, c = 13.868 Å
α = 79.48°, β = 79.48°, γ = 90.00°
Element x y z (fractional)
Ba 0.750 0.250 0.500
Rb 0.375 0.839 0.750
Rb 0.589 0.625 0.250
P 0.500 0.500 0.000
Ba 0.000 0.000 0.000
Rb 0.161 0.125 0.250
P 0.250 0.750 0.500
Rb 0.875 0.411 0.750

Output
E_form = 0.012 eV/atom
total magnetization = 0.5 μB/f.u.
E = -2.304 eV/atom
SG = I-42d (122)
mass density = 3.28 g/cm³
crystal system = tetragonal